The following is a DFT calculation (PBE+U) of a relaxed structure of Mg6NbNiO8.

Cell lengths 4.250, 4.250, 8.943 Å; angles 90.00, 90.00, 90.00 degrees
Sites, in units of the cell vectors:
Mg  0.000  0.000  0.000
Mg  0.000  0.500  0.242
Mg  0.000  0.500  0.758
Mg  0.500  0.000  0.242
Mg  0.500  0.000  0.758
Mg  0.500  0.500  0.000
Nb  0.000  0.000  0.500
Ni  0.500  0.500  0.500
O  0.000  0.000  0.246
O  0.000  0.000  0.754
O  0.000  0.500  0.000
O  0.000  0.500  0.500
O  0.500  0.000  0.000
O  0.500  0.000  0.500
O  0.500  0.500  0.230
O  0.500  0.500  0.770

Values from the calculation:
The space group is P4/mmm, No. 123. The value obtained for the energy above the most stable polymorph in this dataset is 0 meV/atom.